[1]
A plane-wave DFT calculation with GGA-PBEsol was carried out for Nb2Te4O13 after structural relaxation.

Cell: 7.536 12.653 12.706 Å, 116.63 90.04 90.10°
Fractional positions:
Nb1 0.112 0.220 0.036
Nb2 0.136 0.703 0.538
Nb3 0.367 0.293 0.453
Nb4 0.386 0.797 0.972
Nb5 0.614 0.203 0.028
Nb6 0.633 0.707 0.547
Nb7 0.864 0.297 0.462
Nb8 0.888 0.780 0.964
Te1 0.047 0.263 0.787
Te2 0.121 0.038 0.211
Te3 0.132 0.520 0.711
Te4 0.203 0.954 0.490
Te5 0.287 0.551 0.018
Te6 0.378 0.959 0.781
Te7 0.385 0.461 0.266
Te8 0.471 0.233 0.694
Te9 0.529 0.767 0.306
Te10 0.615 0.539 0.734
Te11 0.622 0.041 0.219
Te12 0.713 0.449 0.982
Te13 0.797 0.046 0.510
Te14 0.868 0.480 0.289
Te15 0.879 0.962 0.789
Te16 0.953 0.737 0.213
O1 0.039 0.992 0.398
O2 0.059 0.078 0.874
O3 0.060 0.567 0.389
O4 0.099 0.119 0.118
O5 0.124 0.253 0.427
O6 0.125 0.628 0.639
O7 0.126 0.598 0.152
O8 0.129 0.740 0.937
O9 0.132 0.794 0.434
O10 0.137 0.317 0.945
O11 0.192 0.362 0.174
O12 0.192 0.868 0.673
O13 0.196 0.359 0.747
O14 0.288 0.154 0.733
O15 0.315 0.939 0.118
O16 0.329 0.440 0.610
O17 0.347 0.886 0.880
O18 0.372 0.168 0.997
O19 0.373 0.387 0.368
O20 0.375 0.904 0.350
O21 0.377 0.667 0.498
O22 0.384 0.708 0.072
O23 0.391 0.185 0.536
O24 0.427 0.644 0.822
O25 0.435 0.147 0.308
O26 0.451 0.502 0.100
O27 0.549 0.498 0.900
O28 0.565 0.853 0.692
O29 0.573 0.356 0.178
O30 0.609 0.815 0.464
O31 0.616 0.292 0.928
O32 0.623 0.333 0.502
O33 0.625 0.096 0.650
O34 0.627 0.613 0.632
O35 0.628 0.832 0.003
O36 0.653 0.114 0.120
O37 0.671 0.560 0.390
O38 0.685 0.061 0.882
O39 0.712 0.846 0.267
O40 0.804 0.641 0.253
O41 0.808 0.132 0.327
O42 0.808 0.638 0.826
O43 0.863 0.683 0.055
O44 0.868 0.206 0.566
O45 0.871 0.260 0.063
O46 0.874 0.402 0.848
O47 0.875 0.372 0.361
O48 0.876 0.747 0.573
O49 0.901 0.881 0.882
O50 0.940 0.433 0.611
O51 0.941 0.922 0.126
O52 0.961 0.008 0.602

Properties
Volume in Å³ per atom: 14.251
SG: No. 2
Crystal system: triclinic

[2]
A plane-wave DFT calculation with GGA-PBEsol was carried out for NbTeO2 after structural relaxation.

Cell: 6.144 6.144 6.144 Å, 60.00 60.00 60.00°
Fractional positions:
Nb1 0.125 0.125 0.125
Nb2 0.875 0.875 0.875
Te1 0.375 0.375 0.375
Te2 0.625 0.625 0.625
O1 0.000 0.000 0.000
O2 0.000 0.000 0.500
O3 0.000 0.500 0.000
O4 0.500 0.000 0.000

Properties
Volume in Å³ per atom: 20.503
SG: No. 227
Crystal system: cubic

[3]
A plane-wave DFT calculation with GGA-PBEsol was carried out for Ti3NbO8 after structural relaxation.

Cell: 5.908 5.908 9.297 Å, 90.00 90.00 120.00°
Fractional positions:
Ti1 0.168 0.337 0.000
Ti2 0.168 0.832 0.000
Ti3 0.337 0.168 0.500
Ti4 0.663 0.832 0.000
Ti5 0.832 0.168 0.500
Ti6 0.832 0.663 0.500
Nb1 0.333 0.667 0.724
Nb2 0.667 0.333 0.224
O1 0.000 0.000 0.403
O2 0.000 0.000 0.903
O3 0.041 0.521 0.878
O4 0.169 0.337 0.614
O5 0.169 0.831 0.614
O6 0.333 0.667 0.108
O7 0.337 0.169 0.114
O8 0.479 0.521 0.878
O9 0.479 0.959 0.878
O10 0.521 0.041 0.378
O11 0.521 0.479 0.378
O12 0.663 0.831 0.614
O13 0.667 0.333 0.608
O14 0.831 0.169 0.114
O15 0.831 0.663 0.114
O16 0.959 0.479 0.378

Properties
Volume in Å³ per atom: 11.708
SG: No. 186
Crystal system: hexagonal
Polymorph energy (0 for the lowest one) in meV/atom: 76.3

[4]
A plane-wave DFT calculation with GGA-PBEsol was carried out for Ti3NbO8 after structural relaxation.

Cell: 4.678 2.955 9.354 Å, 90.00 90.59 90.00°
Fractional positions:
Ti1 0.000 0.000 0.000
Ti2 0.496 0.500 0.760
Ti3 0.504 0.500 0.240
Nb1 0.000 0.000 0.500
O1 0.190 0.500 0.903
O2 0.215 0.500 0.395
O3 0.299 0.000 0.656
O4 0.310 0.000 0.148
O5 0.690 0.000 0.852
O6 0.701 0.000 0.344
O7 0.785 0.500 0.605
O8 0.810 0.500 0.097

Properties
Volume in Å³ per atom: 10.774
SG: No. 10
Crystal system: monoclinic
Polymorph energy (0 for the lowest one) in meV/atom: 0.0

[5]
A plane-wave DFT calculation with GGA-PBEsol was carried out for TiNbO4 after structural relaxation.

Cell: 5.599 5.599 7.317 Å, 109.12 109.12 73.90°
Fractional positions:
Ti1 0.000 0.000 0.000
Ti2 0.011 0.011 0.515
Ti3 0.330 0.330 0.850
Nb1 0.340 0.340 0.349
Nb2 0.673 0.673 0.672
Nb3 0.679 0.679 0.163
O1 0.043 0.638 0.850
O2 0.103 0.103 0.807
O3 0.240 0.240 0.552
O4 0.295 0.715 0.502
O5 0.366 0.969 0.171
O6 0.442 0.442 0.144
O7 0.559 0.559 0.864
O8 0.638 0.043 0.850
O9 0.715 0.295 0.502
O10 0.771 0.771 0.469
O11 0.913 0.913 0.214
O12 0.969 0.366 0.171

Properties
Volume in Å³ per atom: 11.168
SG: No. 8
Crystal system: monoclinic

[6]
A plane-wave DFT calculation with GGA-PBEsol was carried out for TiNb2O7 after structural relaxation.

Cell: 7.643 10.444 11.329 Å, 66.64 80.28 79.49°
Fractional positions:
Ti1 0.000 0.000 0.000
Ti2 0.090 0.644 0.002
Ti3 0.357 0.223 0.378
Ti4 0.485 0.330 0.740
Ti5 0.592 0.631 0.013
Ti6 0.796 0.074 0.750
Nb1 0.044 0.487 0.360
Nb2 0.298 0.073 0.741
Nb3 0.392 0.694 0.748
Nb4 0.404 0.374 0.013
Nb5 0.429 0.865 0.375
Nb6 0.501 0.998 0.004
Nb7 0.537 0.488 0.376
Nb8 0.852 0.214 0.391
Nb9 0.887 0.713 0.743
Nb10 0.906 0.374 0.014
Nb11 0.934 0.858 0.359
Nb12 0.982 0.335 0.738
O1 0.005 0.667 0.362
O2 0.007 0.414 0.562
O3 0.029 0.105 0.780
O4 0.049 0.822 0.990
O5 0.071 0.552 0.176
O6 0.093 0.268 0.379
O7 0.130 0.689 0.799
O8 0.146 0.428 0.996
O9 0.188 0.854 0.382
O10 0.245 0.283 0.752
O11 0.256 0.020 0.955
O12 0.303 0.434 0.373
O13 0.319 0.158 0.566
O14 0.340 0.885 0.761
O15 0.358 0.603 0.973
O16 0.381 0.292 0.190
O17 0.401 0.043 0.390
O18 0.417 0.755 0.574
O19 0.433 0.484 0.792
O20 0.457 0.221 0.957
O21 0.468 0.952 0.180
O22 0.489 0.670 0.364
O23 0.509 0.408 0.568
O24 0.532 0.104 0.780
O25 0.549 0.817 0.994
O26 0.570 0.549 0.182
O27 0.591 0.267 0.380
O28 0.630 0.689 0.797
O29 0.645 0.430 0.997
O30 0.692 0.843 0.382
O31 0.741 0.283 0.753
O32 0.759 0.021 0.953
O33 0.801 0.438 0.373
O34 0.821 0.158 0.576
O35 0.838 0.893 0.759
O36 0.857 0.604 0.974
O37 0.883 0.291 0.190
O38 0.893 0.035 0.391
O39 0.917 0.760 0.571
O40 0.931 0.491 0.791
O41 0.956 0.222 0.958
O42 0.965 0.953 0.172

Properties
Volume in Å³ per atom: 13.527
SG: No. 1
Crystal system: triclinic
Polymorph energy (0 for the lowest one) in meV/atom: 0.0

[7]
A plane-wave DFT calculation with GGA-PBEsol was carried out for TiNbO4 after structural relaxation.

Cell: 5.561 5.561 5.561 Å, 138.72 138.72 59.80°
Fractional positions:
Ti1 0.000 0.000 0.000
Nb1 0.750 0.250 0.500
O1 0.208 0.208 0.000
O2 0.538 0.038 0.500
O3 0.792 0.792 0.000
O4 0.962 0.462 0.500

Properties
Volume in Å³ per atom: 12.348
SG: No. 119
Crystal system: tetragonal

[8]
A plane-wave DFT calculation with GGA-PBEsol was carried out for Ti3NbO after structural relaxation.

Cell: 4.132 4.132 4.132 Å, 90.00 90.00 90.00°
Fractional positions:
Ti1 0.000 0.000 0.500
Ti2 0.000 0.500 0.000
Ti3 0.500 0.000 0.000
Nb1 0.500 0.500 0.500
O1 0.000 0.000 0.000

Properties
Volume in Å³ per atom: 14.106
SG: No. 221
Crystal system: cubic

[9]
A plane-wave DFT calculation with GGA-PBEsol was carried out for TiNbO4 after structural relaxation.

Cell: 4.759 4.759 2.961 Å, 90.00 90.00 91.23°
Fractional positions:
Ti1 0.000 0.000 0.000
Nb1 0.500 0.500 0.500
O1 0.195 0.195 0.500
O2 0.291 0.709 0.000
O3 0.709 0.291 0.000
O4 0.805 0.805 0.500

Properties
Volume in Å³ per atom: 11.171
SG: No. 65
Crystal system: orthorhombic

[10]
A plane-wave DFT calculation with GGA-PBEsol was carried out for TiNb2O7 after structural relaxation.

Cell: 10.400 10.400 12.027 Å, 119.67 119.67 21.22°
Fractional positions:
Ti1 0.000 0.000 0.000
Ti2 0.103 0.103 0.349
Ti3 0.515 0.515 0.617
Nb1 0.620 0.620 0.974
Nb2 0.696 0.696 0.614
Nb3 0.730 0.730 0.349
Nb4 0.814 0.814 0.986
Nb5 0.891 0.891 0.630
Nb6 0.923 0.923 0.358
O1 0.020 0.020 0.371
O2 0.059 0.059 0.182
O3 0.099 0.099 0.984
O4 0.182 0.182 0.564
O5 0.212 0.212 0.366
O6 0.306 0.306 0.984
O7 0.407 0.407 0.608
O8 0.437 0.437 0.409
O9 0.519 0.519 0.992
O10 0.558 0.558 0.787
O11 0.598 0.598 0.600
O12 0.636 0.636 0.388
O13 0.684 0.684 0.174
O14 0.710 0.710 0.974
O15 0.759 0.759 0.788
O16 0.785 0.785 0.571
O17 0.835 0.835 0.404
O18 0.861 0.861 0.184
O19 0.911 0.911 0.999
O20 0.938 0.938 0.803
O21 0.983 0.983 0.584

Properties
Volume in Å³ per atom: 13.559
SG: No. 8
Crystal system: monoclinic
Polymorph energy (0 for the lowest one) in meV/atom: 2.7

[11]
A plane-wave DFT calculation with GGA-PBEsol was carried out for Ti5NbO12 after structural relaxation.

Cell: 5.510 5.510 7.194 Å, 108.66 108.66 73.39°
Fractional positions:
Ti1 0.000 0.000 0.000
Ti2 0.338 0.338 0.326
Ti3 0.338 0.338 0.837
Ti4 0.662 0.662 0.163
Ti5 0.662 0.662 0.674
Nb1 0.000 0.000 0.500
O1 0.029 0.631 0.330
O2 0.102 0.102 0.295
O3 0.231 0.231 0.034
O4 0.304 0.696 0.000
O5 0.369 0.971 0.670
O6 0.433 0.433 0.628
O7 0.567 0.567 0.372
O8 0.631 0.029 0.330
O9 0.696 0.304 0.000
O10 0.769 0.769 0.966
O11 0.898 0.898 0.705
O12 0.971 0.369 0.670

Properties
Volume in Å³ per atom: 10.662
SG: No. 12
Crystal system: monoclinic

[12]
A plane-wave DFT calculation with GGA-PBEsol was carried out for Ti3NbO8 after structural relaxation.

Cell: 9.802 9.802 4.671 Å, 90.41 90.41 35.29°
Fractional positions:
Ti1 0.000 0.500 0.000
Ti2 0.126 0.126 0.505
Ti3 0.242 0.758 0.000
Ti4 0.500 0.000 0.000
Ti5 0.758 0.242 0.000
Ti6 0.874 0.874 0.495
Nb1 0.376 0.376 0.503
Nb2 0.624 0.624 0.497
O1 0.049 0.049 0.196
O2 0.070 0.579 0.699
O3 0.171 0.679 0.300
O4 0.202 0.202 0.803
O5 0.299 0.299 0.191
O6 0.321 0.829 0.700
O7 0.421 0.930 0.301
O8 0.452 0.452 0.807
O9 0.548 0.548 0.193
O10 0.579 0.070 0.699
O11 0.679 0.171 0.300
O12 0.701 0.701 0.809
O13 0.798 0.798 0.197
O14 0.829 0.321 0.700
O15 0.930 0.421 0.301
O16 0.951 0.951 0.804

Properties
Volume in Å³ per atom: 10.803
SG: No. 12
Crystal system: monoclinic
Polymorph energy (0 for the lowest one) in meV/atom: 2.5

N(E_F) (states/eV per cell)
0.00 7.29 10.53 4.08 9.70 0.00 3.22 3.54 3.17 0.00 6.59 10.72
Total DFT energy (no corrections) (eV/cell)
-536.41 -60.87 -223.21 -112.52 -169.67 -560.61 -56.38 -46.60 -56.59 -280.22 -168.41 -224.98
Ρ (Mg/m³)
5.5 5.1 4.3 4.7 5.1 4.2 4.6 5.9 5.1 4.2 4.5 4.7